(1)
The following is a DFT calculation (PBE-GGA) of RbAlN after structural relaxation.

Results
Energy relative to the elements, uncorrected in meV per atom: -441

```
data_RbAlN
_space_group_name_H-M_alt 'P 4/n m m'
_space_group_IT_number 129
_cell_length_a 3.7617
_cell_length_b 3.7617
_cell_length_c 12.0246
_cell_angle_alpha 90.00
_cell_angle_beta 90.00
_cell_angle_gamma 90.00
loop_
_space_group_symop_operation_xyz
'x,y,z'
'-x,-y,-z'
'-y+1/2,x,z'
'y+1/2,-x,-z'
'-x+1/2,-y+1/2,z'
'x+1/2,y+1/2,-z'
'y,-x+1/2,z'
'-y,x+1/2,-z'
'x+1/2,-y,-z'
'-x+1/2,y,z'
'-y,-x,-z'
'y,x,z'
'-x,y+1/2,-z'
'x,-y+1/2,z'
'y+1/2,x+1/2,-z'
'-y+1/2,-x+1/2,z'
loop_
_atom_site_label
_atom_site_fract_x
_atom_site_fract_y
_atom_site_fract_z
Rb1 0.2500 0.2500 0.1830
Al1 0.2500 0.7500 0.5000
N1 0.2500 0.2500 0.4600
```

---

(2)
The following is a DFT calculation (PBE-GGA) of Rb2AlN after structural relaxation.

Results
Energy relative to the elements, uncorrected in meV per atom: 94
Relative energy among the computed polymorphs in eV/atom: 0.000

```
data_Rb2AlN
_space_group_name_H-M_alt 'I -4 2 d'
_space_group_IT_number 122
_space_group_name_Hall 'I -4 2bw'
_cell_length_a 13.0866
_cell_length_b 13.0866
_cell_length_c 3.6560
_cell_angle_alpha 90.00
_cell_angle_beta 90.00
_cell_angle_gamma 90.00
loop_
_atom_site_label
_atom_site_fract_x
_atom_site_fract_y
_atom_site_fract_z
Rb1 0.0507 0.2500 0.1250
Al1 0.0000 0.0000 0.5000
N1 0.0000 0.0000 0.0000
```

---

(3)
The following is a DFT calculation (PBE-GGA) of Rb2AlReN after structural relaxation.

Results
Energy relative to the elements, uncorrected in meV per atom: 2287

```
data_Rb2AlReN
_space_group_name_H-M_alt 'P 4/m m m'
_space_group_IT_number 123
_space_group_name_Hall '-P 4 2'
_cell_length_a 6.5168
_cell_length_b 6.5168
_cell_length_c 4.6711
_cell_angle_alpha 90.00
_cell_angle_beta 90.00
_cell_angle_gamma 90.00
loop_
_atom_site_label
_atom_site_fract_x
_atom_site_fract_y
_atom_site_fract_z
Rb1 0.0000 0.5000 0.0000
Al1 0.0000 0.0000 0.0000
Re1 0.0000 0.0000 0.5000
N1 0.5000 0.5000 0.5000
```

---

(4)
The following is a DFT calculation (PBE-GGA) of Rb2AlRuN after structural relaxation.

Results
Energy relative to the elements, uncorrected in meV per atom: 906

```
data_Rb2AlRuN
_space_group_name_H-M_alt 'P 4/m m m'
_space_group_IT_number 123
_space_group_name_Hall '-P 4 2'
_cell_length_a 6.9798
_cell_length_b 6.9798
_cell_length_c 3.4548
_cell_angle_alpha 90.00
_cell_angle_beta 90.00
_cell_angle_gamma 90.00
loop_
_atom_site_label
_atom_site_fract_x
_atom_site_fract_y
_atom_site_fract_z
Rb1 0.0000 0.5000 0.0000
Al1 0.0000 0.0000 0.0000
Ru1 0.5000 0.5000 0.5000
N1 0.0000 0.0000 0.5000
```

---

(5)
The following is a DFT calculation (PBE-GGA) of RbAlS2N after structural relaxation.

Results
Energy relative to the elements, uncorrected in meV per atom: 1676
Relative energy among the computed polymorphs in eV/atom: 1.700

```
data_RbAlS2N
_space_group_name_H-M_alt 'P 4/m m m'
_space_group_IT_number 123
_space_group_name_Hall '-P 4 2'
_cell_length_a 5.9733
_cell_length_b 5.9733
_cell_length_c 5.3446
_cell_angle_alpha 90.00
_cell_angle_beta 90.00
_cell_angle_gamma 90.00
loop_
_atom_site_label
_atom_site_fract_x
_atom_site_fract_y
_atom_site_fract_z
Rb1 0.0000 0.0000 0.0000
Al1 0.5000 0.5000 0.5000
S1 0.0000 0.5000 0.0000
N1 0.0000 0.0000 0.5000
```

---

(6)
The following is a DFT calculation (PBE-GGA) of RbAlS2N after structural relaxation.

Results
Energy relative to the elements, uncorrected in meV per atom: -25
Relative energy among the computed polymorphs in eV/atom: 0.000

```
data_RbAlS2N
_space_group_name_H-M_alt 'P 4/m m m'
_space_group_IT_number 123
_space_group_name_Hall '-P 4 2'
_cell_length_a 5.0735
_cell_length_b 5.0735
_cell_length_c 3.8858
_cell_angle_alpha 90.00
_cell_angle_beta 90.00
_cell_angle_gamma 90.00
loop_
_atom_site_label
_atom_site_fract_x
_atom_site_fract_y
_atom_site_fract_z
Rb1 0.0000 0.0000 0.0000
Al1 0.5000 0.5000 0.5000
S1 0.0000 0.5000 0.5000
N1 0.5000 0.5000 0.0000
```

---

(7)
The following is a DFT calculation (PBE-GGA) of RbAlSb2N after structural relaxation.

Results
Energy relative to the elements, uncorrected in meV per atom: 266

```
data_RbAlSb2N
_space_group_name_H-M_alt 'P 4/m m m'
_space_group_IT_number 123
_space_group_name_Hall '-P 4 2'
_cell_length_a 6.4469
_cell_length_b 6.4469
_cell_length_c 3.4072
_cell_angle_alpha 90.00
_cell_angle_beta 90.00
_cell_angle_gamma 90.00
loop_
_atom_site_label
_atom_site_fract_x
_atom_site_fract_y
_atom_site_fract_z
Rb1 0.0000 0.0000 0.0000
Al1 0.5000 0.5000 0.0000
Sb1 0.0000 0.5000 0.5000
N1 0.5000 0.5000 0.5000
```

---

(8)
The following is a DFT calculation (PBE-GGA) of RbAlTcN2 after structural relaxation.

Results
Energy relative to the elements, uncorrected in meV per atom: 1892

```
data_RbAlTcN2
_space_group_name_H-M_alt 'P 4/m m m'
_space_group_IT_number 123
_space_group_name_Hall '-P 4 2'
_cell_length_a 3.9120
_cell_length_b 3.9120
_cell_length_c 5.4584
_cell_angle_alpha 90.00
_cell_angle_beta 90.00
_cell_angle_gamma 90.00
loop_
_atom_site_label
_atom_site_fract_x
_atom_site_fract_y
_atom_site_fract_z
Rb1 0.0000 0.0000 0.0000
Al1 0.0000 0.0000 0.5000
Tc1 0.5000 0.5000 0.0000
N1 0.0000 0.5000 0.5000
```

---

Which of these has the highest energy relative to the elements, uncorrected?
Rb2AlReN